Entry 1:
A relaxed Sm5In4Sn crystal. Source: Alexandria, functional PBE.

Geometry as extended XYZ:
```
10
Lattice="3.669 0.000 0.000 0.000 3.669 0.000 0.000 0.000 20.874" Properties=species:S:1:pos:R:3 pbc="T T T"
In 0.000 0.000 4.204
In 0.000 0.000 12.518
Sm 1.834 1.834 14.608
Sm 1.834 1.834 2.086
In 0.000 0.000 8.356
In 0.000 0.000 16.671
Sn 0.000 0.000 0.000
Sm 1.834 1.834 6.267
Sm 1.834 1.834 10.437
Sm 1.834 1.834 18.788
```

Output
- E_form: -518 meV/atom
- M_tot: 0.0 μB/cell

Entry 2:
A relaxed NdHoTl crystal. Source: Alexandria, functional PBE.

Geometry as extended XYZ:
```
6
Lattice="-2.740 -0.632 4.113 -3.311 -5.211 -3.007 4.884 -4.047 2.631" Properties=species:S:1:pos:R:3 pbc="T T T"
Ho 0.494 -2.910 -0.118
Nd 1.950 -4.585 3.612
Ho 1.078 -6.347 -0.257
Nd -3.117 -5.305 0.126
Tl 0.000 0.000 0.000
Tl -0.583 -4.945 1.869
```

Output
- Excess energy over the best structure of this formula in the dataset: 0.478 eV per atom
- E_form: 214 meV/atom
- M_tot: 1.9 μB/cell

Entry 3:
A relaxed CaRhCl crystal. Source: Alexandria, functional PBE.

Geometry as extended XYZ:
```
3
Lattice="-3.067 -3.156 -0.799 -4.313 1.120 -0.388 -2.013 -0.204 -3.989" Properties=species:S:1:pos:R:3 pbc="T T T"
Ca -7.045 -1.680 -3.882
Cl -2.348 -0.560 -1.294
Rh -4.697 -1.120 -2.588
```

Output
- Excess energy over the best structure of this formula in the dataset: 0.835 eV per atom
- M_tot: 0.0 μB/cell

Entry 4:
A relaxed Ac2Cd3In4Hg crystal. Source: Alexandria, functional PBE.

Geometry as extended XYZ:
```
10
Lattice="-1.536 4.284 -1.560 -4.256 -0.756 2.113 4.097 5.143 10.092" Properties=species:S:1:pos:R:3 pbc="T T T"
Ac 0.928 3.459 8.585
In 0.000 0.000 0.000
Ac 0.273 3.449 1.783
In -0.633 1.498 4.738
Cd 2.048 2.572 5.046
In -2.896 1.764 0.277
Cd 2.766 6.579 7.926
In 1.834 5.409 5.630
Hg -0.847 4.336 5.322
Cd -1.565 0.328 2.442
```

Output
- E_form: -325 meV/atom
- M_tot: 0.0 μB/cell